# YMn2CuCl | Alexandria | meta-GGA SCAN | PBEsol geometry
data_YMn2CuCl
_cell_length_a 4.5678
_cell_length_b 4.5678
_cell_length_c 4.7848
_cell_angle_alpha 90.00
_cell_angle_beta 90.00
_cell_angle_gamma 90.00
_symmetry_space_group_name_H-M 'P 1'
_symmetry_Int_Tables_number 1
_symmetry_space_group_name_Hall 'P 1'
loop_
_atom_site_label
_atom_site_type_symbol
_atom_site_fract_x
_atom_site_fract_y
_atom_site_fract_z
Y1 Y 0.0000 0.0000 0.0000
Mn1 Mn 0.0000 0.5000 0.5000
Mn2 Mn 0.5000 0.0000 0.5000
Cu1 Cu 0.5000 0.5000 0.5000
Cl1 Cl 0.5000 0.5000 0.0000
# Formation energy (no corrections) in meV/atom: 308
# Uncorrected energy in eV per atom: -17.198
# Space-group type: P4/mmm
# N(E_F) in states/eV/cell: 5.01